# NbZnOs2

A relaxed structure of NbZnOs2 (PBE, OQMD via LeMat-Bulk).

Computed properties:
**Crystal system**: cubic
**DFT formation energy**: 0.28 eV per atom

a = 4.422 Å, b = 4.422 Å, c = 4.422 Å
α = 60.00°, β = 60.00°, γ = 60.00°
Fractional coordinates of all 4 atoms:
Zn (0.250, 0.250, 0.250)
Os (0.000, 0.000, 0.000)
Os (0.750, 0.750, 0.750)
Nb (0.500, 0.500, 0.500)